First-principles (PBE-GGA) data for a relaxed MgZn9Cu3 crystal, as listed in Alexandria via LeMat-Bulk.

Computed properties:
Final energy in eV per atom: -2.021

abc: 6.639 6.639 6.624
angles: 97.62 97.62 135.36
Atoms (fractional coordinates):
Mg  0.000  0.000  0.000
Zn  0.022  0.669  0.657
Zn  0.281  0.499  0.786
Zn  0.331  0.978  0.343
Zn  0.499  0.281  0.786
Zn  0.500  0.500  0.500
Zn  0.501  0.719  0.214
Zn  0.669  0.022  0.657
Zn  0.719  0.501  0.214
Zn  0.978  0.331  0.343
Cu  0.000  0.000  0.500
Cu  0.000  0.500  0.000
Cu  0.500  0.000  0.000

***

First-principles (PBE-GGA) data for a relaxed Pm3Fe5S12 crystal, as listed in Alexandria via LeMat-Bulk.

Computed properties:
E_form (uncorrected) in meV per atom: -847
Final energy in eV per atom: -6.151

abc: 12.504 12.504 12.504
angles: 109.47 109.47 109.47
Atoms (fractional coordinates):
Pm  0.125  0.250  0.375
Pm  0.125  0.375  0.750
Pm  0.250  0.375  0.125
Pm  0.250  0.875  0.625
Pm  0.375  0.125  0.250
Pm  0.375  0.750  0.125
Pm  0.625  0.250  0.875
Pm  0.625  0.875  0.750
Pm  0.750  0.125  0.375
Pm  0.750  0.625  0.875
Pm  0.875  0.625  0.250
Pm  0.875  0.750  0.625
Fe  0.000  0.000  0.000
Fe  0.000  0.000  0.500
Fe  0.000  0.500  0.000
Fe  0.000  0.500  0.500
Fe  0.125  0.750  0.875
Fe  0.125  0.875  0.250
Fe  0.250  0.125  0.875
Fe  0.250  0.625  0.375
Fe  0.375  0.250  0.625
Fe  0.375  0.625  0.750
Fe  0.500  0.000  0.000
Fe  0.500  0.000  0.500
Fe  0.500  0.500  0.000
Fe  0.500  0.500  0.500
Fe  0.625  0.375  0.250
Fe  0.625  0.750  0.375
Fe  0.750  0.375  0.625
Fe  0.750  0.875  0.125
Fe  0.875  0.125  0.750
Fe  0.875  0.250  0.125
S  0.017  0.199  0.109
S  0.017  0.319  0.909
S  0.090  0.699  0.681
S  0.090  0.891  0.409
S  0.091  0.609  0.410
S  0.091  0.983  0.681
S  0.109  0.017  0.199
S  0.109  0.591  0.910
S  0.181  0.199  0.590
S  0.181  0.483  0.591
S  0.199  0.109  0.017
S  0.199  0.590  0.181
S  0.301  0.319  0.910
S  0.301  0.483  0.391
S  0.319  0.909  0.017
S  0.319  0.910  0.301
S  0.391  0.301  0.483
S  0.391  0.590  0.909
S  0.409  0.090  0.891
S  0.409  0.819  0.517
S  0.410  0.091  0.609
S  0.410  0.819  0.801
S  0.483  0.391  0.301
S  0.483  0.591  0.181
S  0.517  0.409  0.819
S  0.517  0.609  0.699
S  0.590  0.181  0.199
S  0.590  0.909  0.391
S  0.591  0.181  0.483
S  0.591  0.910  0.109
S  0.609  0.410  0.091
S  0.609  0.699  0.517
S  0.681  0.090  0.699
S  0.681  0.091  0.983
S  0.699  0.517  0.609
S  0.699  0.681  0.090
S  0.801  0.410  0.819
S  0.801  0.891  0.983
S  0.819  0.517  0.409
S  0.819  0.801  0.410
S  0.891  0.409  0.090
S  0.891  0.983  0.801
S  0.909  0.017  0.319
S  0.909  0.391  0.590
S  0.910  0.109  0.591
S  0.910  0.301  0.319
S  0.983  0.681  0.091
S  0.983  0.801  0.891

***

First-principles (PBE-GGA) data for a relaxed BaTi3Re crystal, as listed in Alexandria via LeMat-Bulk.

Computed properties:
Final energy in eV per atom: -5.228

abc: 4.814 4.814 4.814
angles: 90.00 90.00 90.00
Atoms (fractional coordinates):
Ba  0.000  0.000  0.000
Ti  0.000  0.000  0.500
Ti  0.000  0.500  0.000
Ti  0.500  0.000  0.000
Re  0.500  0.500  0.500

***

First-principles (PBE-GGA) data for a relaxed MnCoSiS2 crystal, as listed in Alexandria via LeMat-Bulk.

Computed properties:
E_form (uncorrected) in meV per atom: 696
Final energy in eV per atom: -5.295

abc: 4.384 4.384 4.528
angles: 90.00 90.00 90.00
Atoms (fractional coordinates):
Mn  0.000  0.000  0.000
Co  0.000  0.000  0.500
Si  0.500  0.500  0.500
S  0.000  0.500  0.000
S  0.500  0.000  0.000

***

Copy entry 4 word for word.
First-principles (PBE-GGA) data for a relaxed MnCoSiS2 crystal, as listed in Alexandria via LeMat-Bulk.

Computed properties:
E_form (uncorrected) in meV per atom: 696
Final energy in eV per atom: -5.295

abc: 4.384 4.384 4.528
angles: 90.00 90.00 90.00
Atoms (fractional coordinates):
Mn  0.000  0.000  0.000
Co  0.000  0.000  0.500
Si  0.500  0.500  0.500
S  0.000  0.500  0.000
S  0.500  0.000  0.000